Here is MnSeO3 after structural relaxation from Alexandria via LeMat-Bulk. Energies are from GGA+U.

Unit cell a=5.6310 b=12.9018 c=8.5672 alpha=90.00 beta=101.05 gamma=90.00
Closest atoms and distances in Å follow each position.
Fractional coordinates of all 40 atoms:
Mn1 0.1027 0.2492 0.1628  6 O 2.21-2.31
Mn2 0.1027 0.2508 0.6628  6 O 2.21-2.31
Mn3 0.3353 0.5782 0.1113  5 O 2.18-2.26
Mn4 0.3353 0.9218 0.6113  5 O 2.18-2.26
Mn5 0.6647 0.0782 0.3887  5 O 2.18-2.26
Mn6 0.6647 0.4218 0.8887  5 O 2.18-2.26
Mn7 0.8973 0.7492 0.3372  6 O 2.21-2.31
Mn8 0.8973 0.7508 0.8372  6 O 2.21-2.31
Se1 0.0752 0.5166 0.7313  3 O 1.72-1.74
Se2 0.0752 0.9834 0.2313  3 O 1.72-1.74
Se3 0.4868 0.6751 0.5031  3 O 1.73-1.74
Se4 0.4868 0.8249 0.0031  3 O 1.73-1.74
Se5 0.5132 0.1751 0.9969  3 O 1.73-1.74
Se6 0.5132 0.3249 0.4969  3 O 1.73-1.74
Se7 0.9248 0.0166 0.7687  3 O 1.72-1.74
Se8 0.9248 0.4834 0.2687  3 O 1.72-1.74
O1 0.0619 0.6041 0.2687  1 Se 1.74
O2 0.0619 0.8959 0.7687  1 Se 1.74
O3 0.1203 0.0794 0.6670  1 Se 1.73
O4 0.1203 0.4206 0.1670  1 Se 1.73
O5 0.2412 0.2377 0.9264  1 Se 1.73
O6 0.2412 0.2623 0.4264  1 Se 1.73
O7 0.2719 0.7260 0.9796  1 Se 1.74
O8 0.2719 0.7740 0.4796  1 Se 1.74
O9 0.3313 0.5100 0.8774  1 Se 1.72
O10 0.3313 0.9900 0.3774  1 Se 1.72
O11 0.4481 0.1598 0.1855  1 Se 1.73
O12 0.4481 0.3402 0.6855  1 Se 1.73
O13 0.5519 0.6598 0.3145  1 Se 1.73
O14 0.5519 0.8402 0.8145  1 Se 1.73
O15 0.6687 0.0100 0.6226  1 Se 1.72
O16 0.6687 0.4900 0.1226  1 Se 1.72
O17 0.7281 0.2260 0.5204  1 Se 1.74
O18 0.7281 0.2740 0.0204  1 Se 1.74
O19 0.7588 0.7377 0.5736  1 Se 1.73
O20 0.7588 0.7623 0.0736  1 Se 1.73
O21 0.8797 0.5794 0.8330  1 Se 1.73
O22 0.8797 0.9206 0.3330  1 Se 1.73
O23 0.9381 0.1041 0.2313  1 Se 1.74
O24 0.9381 0.3959 0.7313  1 Se 1.74

Total energy, eV per atom: -6.394

---

Here is MnAuO3 after structural relaxation from Alexandria via LeMat-Bulk. Energies are from GGA+U.

Unit cell a=2.9502 b=6.5931 c=7.5960 alpha=106.02 beta=90.29 gamma=102.57
Closest atoms and distances in Å follow each position.
Fractional coordinates of all 10 atoms:
Mn1 0.1403 0.2756 0.4010  5 O 1.95-2.11
Mn2 0.8597 0.7244 0.5990  5 O 1.95-2.11
Au1 0.4051 0.8092 0.0721  3 O 2.04-2.08
Au2 0.5949 0.1908 0.9279  3 O 2.04-2.08
O1 0.1689 0.3388 0.1055  2 Au 2.04
O2 0.3031 0.6118 0.4317  3 Mn 1.95-2.11
O3 0.4615 0.9312 0.6911  2 Mn 1.98, 1 Au 2.08
O4 0.5385 0.0688 0.3089  2 Mn 1.98, 1 Au 2.08
O5 0.6969 0.3882 0.5683  3 Mn 1.95-2.11
O6 0.8311 0.6612 0.8945  2 Au 2.04

Total energy, eV per atom: -5.540